Below is Rb2ZnAsS4 after structural relaxation, with properties calculated at the GGA-PBE level.

a = 6.000 Å, b = 7.579 Å, c = 12.264 Å
α = 84.44°, β = 75.84°, γ = 66.68°
Last column: magnetic moment on the atom in μB.
Sites, in units of the cell vectors:
S1 0.299 0.808 0.103  0.08
S2 0.893 0.808 0.897  0.08
Rb1 0.821 0.000 0.358  0.00
Rb2 0.571 0.500 0.858  0.00
S3 0.210 0.192 0.897  0.08
S4 0.152 0.308 0.397  0.08
S5 0.598 0.192 0.103  0.08
S6 0.857 0.692 0.603  0.08
As1 0.250 0.500 0.500  0.08
Zn1 0.750 0.500 0.500  0.01
As2 0.500 0.000 0.000  0.08
S7 0.451 0.692 0.397  0.08
S8 0.540 0.308 0.603  0.08
Rb3 0.929 0.500 0.142  0.00
Zn2 0.000 0.000 0.000  0.01
Rb4 0.179 0.000 0.642  0.00

E_tot (eV/atom): -3.72
Formation energy from raw total energies (eV per atom): -0.672
SG: Fddd, No. 70
Fermi-level density of states (states/eV per cell): 7.72